## BaIn6Ga2 (PBE)

Data for BaIn6Ga2 after structural relaxation.

Unit cell a=4.6592 b=4.6592 c=11.3340 alpha=90.00 beta=90.00 gamma=90.00
Space group P4/mmm (No. 123)
Asymmetric unit:
Ba  0.0000  0.0000  0.0000 [1 per cell]
In  0.0000  0.0000  0.5000 [1 per cell]
In  0.0000  0.5000  0.2736 [4 per cell]
In  0.5000  0.5000  0.5000 [1 per cell]
Ga  0.5000  0.5000  0.1159 [2 per cell]

Calculated values
E_form   -0.16 eV per atom
Electronic total energy   -25.8 eV/f.u.
ΔE to the lowest computed polymorph   0.0 kJ per mole of atoms
Size of the total moment   0.00 μB/atom
Density   6.52 g/cm³